(1)
## Nd8Te4PbSe3 (PBE-GGA)

Data for a geometry-optimized Nd8Te4PbSe3 structure.

The formation energy (no corrections) comes out at -1495 meV per atom. The value obtained for the density of states at the Fermi level is 6.367 states/eV per cell.

a = 8.775 Å, b = 8.899 Å, c = 8.774 Å
α = 119.53°, β = 120.00°, γ = 90.00°
Atoms (fractional coordinates):
Nd1 0.752 0.272 0.504
Nd2 0.733 0.729 0.981
Nd3 0.248 0.729 0.981
Nd4 0.248 0.728 0.496
Nd5 0.739 0.718 0.478
Nd6 0.267 0.271 0.019
Nd7 0.261 0.282 0.522
Nd8 0.752 0.271 0.019
Te1 0.000 0.000 0.500
Te2 0.500 0.000 0.000
Te3 0.000 0.000 0.000
Te4 0.500 0.000 0.500
Se1 0.500 0.500 0.500
Se2 0.000 0.500 0.500
Se3 0.500 0.500 0.000
Pb1 0.000 0.500 0.000

(2)
## Nd6Te3Pb2Se (PBE-GGA)

Data for a geometry-optimized Nd6Te3Pb2Se structure.

The formation energy (no corrections) comes out at -1232 meV per atom. The value obtained for the density of states at the Fermi level is 5.021 states/eV per cell.

a = 4.494 Å, b = 9.002 Å, c = 10.057 Å
α = 103.33°, β = 102.91°, γ = 90.00°
Atoms (fractional coordinates):
Se1 0.500 0.000 0.000
Nd1 0.333 0.421 0.665
Nd2 0.660 0.083 0.321
Nd3 0.340 0.917 0.679
Nd4 0.667 0.579 0.335
Nd5 0.999 0.765 0.998
Nd6 0.001 0.235 0.002
Te1 0.168 0.834 0.336
Te2 0.832 0.166 0.664
Te3 0.500 0.500 0.000
Pb1 0.166 0.331 0.331
Pb2 0.834 0.669 0.669

(3)
## Nd4TePb2Se (PBE-GGA)

Data for a geometry-optimized Nd4TePb2Se structure.

The formation energy (no corrections) comes out at -1091 meV per atom. The value obtained for the density of states at the Fermi level is 3.014 states/eV per cell.

a = 4.468 Å, b = 7.789 Å, c = 7.779 Å
α = 70.75°, β = 90.00°, γ = 90.00°
Atoms (fractional coordinates):
Nd1 0.500 0.256 0.741
Nd2 0.000 0.749 0.743
Nd3 0.000 0.251 0.257
Nd4 0.500 0.744 0.259
Se1 0.000 0.500 0.500
Pb1 0.000 0.000 0.000
Pb2 0.500 0.000 0.500
Te1 0.500 0.500 0.000

(4)
## NdTlPb2Se4 (PBE-GGA)

Data for a geometry-optimized NdTlPb2Se4 structure.

The formation energy (no corrections) comes out at -914 meV per atom.

a = 4.386 Å, b = 7.543 Å, c = 7.699 Å
α = 71.37°, β = 90.00°, γ = 90.00°
Atoms (fractional coordinates):
Se1 0.500 0.741 0.267
Se2 0.500 0.259 0.733
Se3 0.000 0.248 0.270
Se4 0.000 0.752 0.730
Pb1 0.500 0.000 0.500
Pb2 0.000 0.000 0.000
Tl1 0.500 0.500 0.000
Nd1 0.000 0.500 0.500

(5)
## NdTl2PbSe4 (PBE-GGA)

Data for a geometry-optimized NdTl2PbSe4 structure.

The formation energy (no corrections) comes out at -865 meV per atom. The value obtained for the density of states at the Fermi level is 5.637 states/eV per cell.

a = 4.330 Å, b = 7.821 Å, c = 7.652 Å
α = 70.54°, β = 90.00°, γ = 90.00°
Atoms (fractional coordinates):
Se1 0.000 0.732 0.743
Se2 0.000 0.268 0.257
Se3 0.500 0.722 0.268
Se4 0.500 0.278 0.732
Tl1 0.500 0.000 0.500
Tl2 0.000 0.000 0.000
Pb1 0.500 0.500 0.000
Nd1 0.000 0.500 0.500

(6)
## NdYPbSe (PBE-GGA)

Data for a geometry-optimized NdYPbSe structure.

The formation energy (no corrections) comes out at -1174 meV per atom. The value obtained for the density of states at the Fermi level is 1.184 states/eV per cell.

a = 4.343 Å, b = 4.342 Å, c = 6.214 Å
α = 89.99°, β = 90.00°, γ = 90.00°
Atoms (fractional coordinates):
Y1 0.000 0.891 0.092
Pb1 0.500 0.391 0.093
Nd1 0.500 0.392 0.593
Se1 0.000 0.892 0.592

(7)
## Nd5Si2Pb2 (PBE-GGA)

Data for a geometry-optimized Nd5Si2Pb2 structure.

The formation energy (no corrections) comes out at -618 meV per atom. The value obtained for the density of states at the Fermi level is 15.096 states/eV per cell.

a = 8.114 Å, b = 8.102 Å, c = 8.936 Å
α = 90.00°, β = 63.00°, γ = 90.00°
Atoms (fractional coordinates):
Pb1 0.284 0.500 0.431
Pb2 0.784 0.000 0.431
Pb3 0.716 0.500 0.569
Pb4 0.216 0.000 0.569
Si1 0.887 0.614 0.000
Si2 0.387 0.886 0.000
Si3 0.113 0.386 0.000
Si4 0.613 0.114 0.000
Nd1 0.500 0.500 0.000
Nd2 0.946 0.322 0.746
Nd3 0.000 0.000 0.000
Nd4 0.693 0.322 0.254
Nd5 0.807 0.822 0.746
Nd6 0.307 0.678 0.746
Nd7 0.054 0.678 0.254
Nd8 0.446 0.178 0.746
Nd9 0.193 0.178 0.254
Nd10 0.554 0.822 0.254

(8)
## Nd3SiPb2 (PBE-GGA)

Data for a geometry-optimized Nd3SiPb2 structure.

The formation energy (no corrections) comes out at -516 meV per atom. The value obtained for the density of states at the Fermi level is 19.070 states/eV per cell.

a = 4.456 Å, b = 12.365 Å, c = 12.961 Å
α = 90.00°, β = 90.00°, γ = 90.00°
Atoms (fractional coordinates):
Si1 0.750 0.629 0.376
Si2 0.750 0.871 0.876
Si3 0.250 0.129 0.124
Si4 0.250 0.371 0.624
Nd1 0.250 0.119 0.558
Nd2 0.250 0.717 0.241
Nd3 0.250 0.045 0.888
Nd4 0.750 0.545 0.612
Nd5 0.250 0.783 0.741
Nd6 0.750 0.881 0.442
Nd7 0.750 0.619 0.942
Nd8 0.750 0.217 0.259
Nd9 0.750 0.955 0.112
Nd10 0.250 0.455 0.388
Nd11 0.750 0.283 0.759
Nd12 0.250 0.381 0.058
Pb1 0.250 0.004 0.308
Pb2 0.250 0.496 0.808
Pb3 0.750 0.206 0.994
Pb4 0.250 0.706 0.506
Pb5 0.750 0.294 0.494
Pb6 0.750 0.504 0.192
Pb7 0.250 0.794 0.006
Pb8 0.750 0.996 0.692

- formation energy (no corrections) of number 6 (NdYPbSe)?
  -1174 meV per atom

- formation energy (no corrections) of number 8 (Nd3SiPb2)?
  -516 meV per atom

- Look up the formation energy (no corrections) of the seventh one.
  -618 meV per atom

- Which value of formation energy (no corrections) does entry 2 give?
  -1232 meV per atom